Record 1
Li3Ni4Ge4: optimized geometry, PBE-GGA.

a = 6.152 Å, b = 6.152 Å, c = 6.152 Å
α = 109.47°, β = 109.47°, γ = 109.47°
Element x y z (fractional)
Ge (0.000, 0.616, 0.000)
Li (0.000, 0.500, 0.500)
Li (0.500, 0.500, 0.000)
Ge (0.384, 0.384, 0.384)
Ni (0.000, 0.000, 0.256)
Li (0.500, 0.000, 0.500)
Ni (0.000, 0.256, 0.000)
Ni (0.744, 0.744, 0.744)
Ge (0.616, 0.000, 0.000)
Ge (0.000, 0.000, 0.616)
Ni (0.256, 0.000, 0.000)

## Properties
Calculated total energy (eV per atom): -4.634
Formation energy (eV/f.u.): -3.6
Space group: I-43m



Record 2
LiNiGe3: optimized geometry, PBE-GGA.

a = 4.640 Å, b = 4.640 Å, c = 4.640 Å
α = 90.00°, β = 90.00°, γ = 90.00°
Element x y z (fractional)
Li (0.500, 0.500, 0.500)
Ni (0.000, 0.000, 0.000)
Ge (0.000, 0.500, 0.000)
Ge (0.000, 0.000, 0.500)
Ge (0.500, 0.000, 0.000)

## Properties
Calculated total energy (eV per atom): -4.169
Energy above the most stable polymorph in this dataset (eV/atom): 0.0000
Formation energy (eV/f.u.): 0.7
Space group: Pm-3m



Record 3
LiNi4Ge2: optimized geometry, PBE-GGA.

a = 3.827 Å, b = 6.975 Å, c = 6.975 Å
α = 90.00°, β = 90.00°, γ = 90.00°
Element x y z (fractional)
Ni (0.000, 0.353, 0.095)
Ge (0.000, 0.223, 0.777)
Ni (0.500, 0.595, 0.147)
Li (0.500, 0.000, 0.000)
Ni (0.500, 0.147, 0.595)
Ge (0.500, 0.277, 0.277)
Ni (0.000, 0.095, 0.353)
Ni (0.000, 0.905, 0.647)
Ni (0.500, 0.405, 0.853)
Li (0.000, 0.500, 0.500)
Ni (0.000, 0.647, 0.905)
Ni (0.500, 0.853, 0.405)
Ge (0.000, 0.777, 0.223)
Ge (0.500, 0.723, 0.723)

## Properties
Calculated total energy (eV per atom): -5.203
Energy above the most stable polymorph in this dataset (eV/atom): 0.0000
Formation energy (eV/f.u.): -2.1
Space group: P4_2/mnm



Record 4
LiNi8Ge6: optimized geometry, PBE-GGA.

a = 6.988 Å, b = 6.988 Å, c = 6.364 Å
α = 56.70°, β = 56.70°, γ = 60.00°
Element x y z (fractional)
Ni (0.913, 0.574, 0.299)
Ge (0.083, 0.718, 0.782)
Ni (0.426, 0.786, 0.701)
Ge (0.583, 0.917, 0.218)
Ge (0.718, 0.417, 0.782)
Ni (0.087, 0.426, 0.701)
Ni (0.334, 0.334, 0.997)
Ni (0.214, 0.913, 0.299)
Ge (0.417, 0.083, 0.782)
Ni (0.574, 0.214, 0.299)
Ni (0.786, 0.087, 0.701)
Ge (0.917, 0.282, 0.218)
Li (0.000, 0.000, 0.000)
Ni (0.666, 0.666, 0.003)
Ge (0.282, 0.583, 0.218)

## Properties
Calculated total energy (eV per atom): -5.222
Formation energy (eV/f.u.): -2.5
Space group: R-3